No. 1
# GGA-PBE Cs2MgSnSe4, relaxed
data_Cs2MgSnSe4
_chemical_formula_sum 'Cs16 Mg8 Sn8 Se32'
_cell_length_a 6.482
_cell_length_b 14.991
_cell_length_c 26.075
_cell_angle_alpha 90.00
_cell_angle_beta 90.00
_cell_angle_gamma 90.00
_symmetry_space_group_name_H-M 'F d d d'
_symmetry_Int_Tables_number 70
loop_
_symmetry_equiv_pos_as_xyz
'x,y,z'
'-x,-y,-z'
'-x+1/4,-y+1/4,z'
'x+1/4,y+1/4,-z'
'x,-y+1/4,-z+1/4'
'-x,y+1/4,z+1/4'
'-x+1/4,y,-z+1/4'
'x+1/4,-y,z+1/4'
'x,y+1/2,z+1/2'
'-x,-y+1/2,-z+1/2'
'-x+1/4,-y+3/4,z+1/2'
'x+1/4,y+3/4,-z+1/2'
'x,-y+3/4,-z+3/4'
'-x,y+3/4,z+3/4'
'-x+1/4,y+1/2,-z+3/4'
'x+1/4,-y+1/2,z+3/4'
'x+1/2,y,z+1/2'
'-x+1/2,-y,-z+1/2'
'-x+3/4,-y+1/4,z+1/2'
'x+3/4,y+1/4,-z+1/2'
'x+1/2,-y+1/4,-z+3/4'
'-x+1/2,y+1/4,z+3/4'
'-x+3/4,y,-z+3/4'
'x+3/4,-y,z+3/4'
'x+1/2,y+1/2,z'
'-x+1/2,-y+1/2,-z'
'-x+3/4,-y+3/4,z'
'x+3/4,y+3/4,-z'
'x+1/2,-y+3/4,-z+1/4'
'-x+1/2,y+3/4,z+1/4'
'-x+3/4,y+1/2,-z+1/4'
'x+3/4,-y+1/2,z+1/4'
loop_
_atom_site_label
_atom_site_type_symbol
_atom_site_fract_x
_atom_site_fract_y
_atom_site_fract_z
Cs1 Cs 0.125 0.125 0.305
Mg1 Mg 0.125 0.125 0.125
Sn1 Sn 0.125 0.125 0.625
Se1 Se 0.120 0.277 0.822
# total magnetization = 0.00 μB per cell
# Fermi-level density of states = 0.000 states/eV/cell
# ρ = 3.8 g cm⁻³
# formation energy (no corrections) = -23.4 kcal/mol of atoms

No. 2
# GGA-PBE KLaRe2, relaxed
data_KLaRe2
_chemical_formula_sum 'K4 La4 Re8'
_cell_length_a 4.254
_cell_length_b 4.254
_cell_length_c 21.593
_cell_angle_alpha 90.00
_cell_angle_beta 90.00
_cell_angle_gamma 90.00
_symmetry_space_group_name_H-M 'I -4 2 d'
_symmetry_Int_Tables_number 122
_symmetry_space_group_name_Hall 'I -4 2bw'
loop_
_atom_site_label
_atom_site_type_symbol
_atom_site_fract_x
_atom_site_fract_y
_atom_site_fract_z
K1 K 0.000 0.000 0.000
La1 La 0.000 0.000 0.500
Re1 Re 0.156 0.250 0.625
# total magnetization = 0.00 μB per cell
# calculated formation energy = 1.3899 eV per atom
# Fermi-level density of states = 14.108 states/eV/cell
# ρ = 9.4 g cm⁻³
# polymorph energy (0 for the lowest one) = 341 kJ/mol of formula units

No. 3
# GGA-PBE K3C, relaxed
data_K3C
_chemical_formula_sum 'K3 C1'
_cell_length_a 4.078
_cell_length_b 4.289
_cell_length_c 11.102
_cell_angle_alpha 90.00
_cell_angle_beta 90.00
_cell_angle_gamma 90.00
_symmetry_space_group_name_H-M 'P m m 2'
_symmetry_Int_Tables_number 25
loop_
_symmetry_equiv_pos_as_xyz
'x,y,z'
'-x,-y,z'
'-x,y,z'
'x,-y,z'
loop_
_atom_site_label
_atom_site_type_symbol
_atom_site_fract_x
_atom_site_fract_y
_atom_site_fract_z
K1 K 0.000 0.000 0.000
K2 K 0.000 0.500 0.277
K3 K 0.500 0.500 0.653
C1 C 0.500 0.000 0.190
# total magnetization = 2.18 μB per cell
# calculated formation energy = 1.1372 eV per atom
# Fermi-level density of states = 1.942 states/eV/cell
# ρ = 1.1 g cm⁻³
# polymorph energy (0 for the lowest one) = 34 kJ/mol of formula units